<a>
Compound: SnPOsO
Source: OQMD via LeMat-Bulk
Functional: PBE
Structure: optimized geometry

Geometry as POSCAR:
```
SnPOsO
1.0
3.8337 0.0000 0.0000
0.0000 3.8337 0.0000
0.0000 0.0000 10.1829
Sn P Os O
2 2 2 2
Direct
0.2500 0.2500 0.1153
0.7500 0.7500 0.8847
0.2500 0.2500 0.6371
0.7500 0.7500 0.3629
0.2500 0.7500 0.5000
0.7500 0.2500 0.5000
0.2500 0.7500 0.0000
0.7500 0.2500 0.0000
```

## Properties
mass density = 7.898 g/cm3
magnetization = 0.14 Bohr magnetons per cell

<b>
Compound: SnPOsO
Source: OQMD via LeMat-Bulk
Functional: PBE
Structure: optimized geometry

Geometry as POSCAR:
```
SnPOsO
1.0
4.1391 0.0000 0.0000
0.0000 4.1391 0.0000
0.0000 0.0000 9.3927
Sn P Os O
2 2 2 2
Direct
0.2500 0.7500 0.0000
0.7500 0.2500 0.0000
0.2500 0.2500 0.2188
0.7500 0.7500 0.7812
0.2500 0.2500 0.4452
0.7500 0.7500 0.5548
0.2500 0.7500 0.5000
0.7500 0.2500 0.5000
```

## Properties
mass density = 7.346 g/cm3
magnetization = 0.45 Bohr magnetons per cell

<c>
Compound: SnPOsO
Source: OQMD via LeMat-Bulk
Functional: PBE
Structure: optimized geometry

Geometry as POSCAR:
```
SnPOsO
1.0
3.8001 0.0000 0.0000
0.0000 7.8654 0.0000
0.0000 0.0000 4.8133
Sn P Os O
2 2 2 2
Direct
0.0000 0.0946 0.0000
0.0000 0.9054 0.5000
0.5000 0.3058 0.9666
0.5000 0.6942 0.4666
0.5000 0.3944 0.4724
0.5000 0.6056 0.9724
0.0000 0.3797 0.4711
0.0000 0.6203 0.9711
```

## Properties
mass density = 8.216 g/cm3
magnetization = 0.00 Bohr magnetons per cell

Least stable of them? <b>.

<a>
Compound: SrPOsO
Source: OQMD via LeMat-Bulk
Functional: PBE
Structure: optimized geometry

Geometry as POSCAR:
```
SrPOsO
1.0
4.3013 0.0000 0.0000
0.0000 4.3013 0.0000
0.0000 0.0000 7.0514
Sr P Os O
2 2 2 2
Direct
0.2500 0.7500 0.0000
0.7500 0.2500 0.0000
0.2500 0.2500 0.2934
0.7500 0.7500 0.7066
0.2500 0.2500 0.6144
0.7500 0.7500 0.3856
0.2500 0.7500 0.5000
0.7500 0.2500 0.5000
```

## Properties
mass density = 8.269 g/cm3
magnetization = 0.01 Bohr magnetons per cell

<b>
Compound: SrPOsO
Source: OQMD via LeMat-Bulk
Functional: PBE
Structure: optimized geometry

Geometry as POSCAR:
```
SrPOsO
1.0
4.1002 0.0000 0.0000
0.0000 4.1002 0.0000
0.0000 0.0000 9.1581
Sr P Os O
2 2 2 2
Direct
0.2500 0.2500 0.1293
0.7500 0.7500 0.8707
0.2500 0.2500 0.6227
0.7500 0.7500 0.3773
0.2500 0.7500 0.5000
0.7500 0.2500 0.5000
0.2500 0.7500 0.0000
0.7500 0.2500 0.0000
```

## Properties
mass density = 7.007 g/cm3
magnetization = 0.74 Bohr magnetons per cell

Least stable of them? <a>.

<a>
Compound: TaPOsO
Source: OQMD via LeMat-Bulk
Functional: PBE
Structure: optimized geometry

Geometry as POSCAR:
```
TaPOsO
1.0
4.0221 0.0000 0.0000
0.0000 4.0221 0.0000
0.0000 0.0000 6.2800
Ta P Os O
2 2 2 2
Direct
0.2500 0.2500 0.1331
0.7500 0.7500 0.8669
0.2500 0.2500 0.6977
0.7500 0.7500 0.3023
0.2500 0.7500 0.5000
0.7500 0.2500 0.5000
0.2500 0.7500 0.0000
0.7500 0.2500 0.0000
```

## Properties
mass density = 13.669 g/cm3
magnetization = 0.00 Bohr magnetons per cell

<b>
Compound: TaPOsO
Source: OQMD via LeMat-Bulk
Functional: PBE
Structure: optimized geometry

Geometry as POSCAR:
```
TaPOsO
1.0
3.5659 0.0000 0.0000
0.0000 5.7501 0.0000
0.0000 0.0000 5.5541
Ta P Os O
2 2 2 2
Direct
0.0000 0.1834 0.0000
0.0000 0.8166 0.5000
0.0000 0.2610 0.4543
0.0000 0.7390 0.9543
0.5000 0.4761 0.3138
0.5000 0.5239 0.8138
0.5000 0.1560 0.8473
0.5000 0.8440 0.3473
```

## Properties
mass density = 12.194 g/cm3
magnetization = 0.01 Bohr magnetons per cell

Least stable of them? <b>.

<a>
Compound: TaPOsO
Source: OQMD via LeMat-Bulk
Functional: PBE
Structure: optimized geometry

Geometry as POSCAR:
```
TaPOsO
1.0
2.8516 0.0000 0.0000
0.0000 5.1776 0.0000
0.0000 0.0000 7.5402
Ta P Os O
2 2 2 2
Direct
0.0000 0.1351 0.0000
0.0000 0.8649 0.5000
0.5000 0.3191 0.2363
0.5000 0.6809 0.7363
0.5000 0.3438 0.5356
0.5000 0.6562 0.0356
0.0000 0.1633 0.6984
0.0000 0.8367 0.1984
```

## Properties
mass density = 12.474 g/cm3
magnetization = 0.00 Bohr magnetons per cell

<b>
Compound: TaPOsO
Source: OQMD via LeMat-Bulk
Functional: PBE
Structure: optimized geometry

Geometry as POSCAR:
```
TaPOsO
1.0
4.3069 0.0000 0.0000
0.0000 4.3069 0.0000
0.0000 0.0000 5.7231
Ta P Os O
2 2 2 2
Direct
0.2500 0.7500 0.0000
0.7500 0.2500 0.0000
0.2500 0.2500 0.2144
0.7500 0.7500 0.7856
0.2500 0.2500 0.6275
0.7500 0.7500 0.3725
0.2500 0.7500 0.5000
0.7500 0.2500 0.5000
```

## Properties
mass density = 13.081 g/cm3
magnetization = 0.85 Bohr magnetons per cell

Least stable of them? <b>.

<a>
Compound: TlPOsO
Source: OQMD via LeMat-Bulk
Functional: PBE
Structure: optimized geometry

Geometry as POSCAR:
```
TlPOsO
1.0
4.1085 0.0000 0.0000
0.0000 4.1085 0.0000
0.0000 0.0000 7.6247
Tl P Os O
2 2 2 2
Direct
0.2500 0.2500 0.1416
0.7500 0.7500 0.8584
0.2500 0.2500 0.6530
0.7500 0.7500 0.3470
0.2500 0.7500 0.5000
0.7500 0.2500 0.5000
0.2500 0.7500 0.0000
0.7500 0.2500 0.0000
```

## Properties
mass density = 11.395 g/cm3
magnetization = 0.01 Bohr magnetons per cell

<b>
Compound: TlPOsO
Source: OQMD via LeMat-Bulk
Functional: PBE
Structure: optimized geometry

Geometry as POSCAR:
```
TlPOsO
1.0
3.4583 0.0000 0.0000
0.0000 8.0509 0.0000
0.0000 0.0000 5.5026
Tl P Os O
2 2 2 2
Direct
0.0000 0.1104 0.0000
0.0000 0.8896 0.5000
0.0000 0.3468 0.4064
0.0000 0.6532 0.9064
0.5000 0.4658 0.6062
0.5000 0.5342 0.1062
0.5000 0.3215 0.9042
0.5000 0.6785 0.4042
```

## Properties
mass density = 9.572 g/cm3
magnetization = 0.00 Bohr magnetons per cell

Least stable of them? <a>.

<a>
Compound: YPOsO
Source: OQMD via LeMat-Bulk
Functional: PBE
Structure: optimized geometry

Geometry as POSCAR:
```
YPOsO
1.0
4.0012 0.0000 0.0000
0.0000 4.0012 0.0000
0.0000 0.0000 7.8836
Y P Os O
2 2 2 2
Direct
0.2500 0.2500 0.1350
0.7500 0.7500 0.8650
0.2500 0.2500 0.6558
0.7500 0.7500 0.3442
0.2500 0.7500 0.5000
0.7500 0.2500 0.5000
0.2500 0.7500 0.0000
0.7500 0.2500 0.0000
```

## Properties
mass density = 8.581 g/cm3
magnetization = 0.00 Bohr magnetons per cell

<b>
Compound: YPOsO
Source: OQMD via LeMat-Bulk
Functional: PBE
Structure: optimized geometry

Geometry as POSCAR:
```
YPOsO
1.0
4.3313 0.0000 0.0000
0.0000 4.3313 0.0000
0.0000 0.0000 6.4575
Y P Os O
2 2 2 2
Direct
0.2500 0.7500 0.0000
0.7500 0.2500 0.0000
0.2500 0.2500 0.2772
0.7500 0.7500 0.7228
0.2500 0.2500 0.6343
0.7500 0.7500 0.3657
0.2500 0.7500 0.5000
0.7500 0.2500 0.5000
```

## Properties
mass density = 8.940 g/cm3
magnetization = 0.00 Bohr magnetons per cell

Least stable of them? <b>.

<a>
Compound: OsPbO4
Source: OQMD via LeMat-Bulk
Functional: PBE
Structure: optimized geometry

Geometry as POSCAR:
```
OsPbO4
1.0
3.8449 -6.5903 0.0000
3.8449 6.5903 0.0000
-2.2875 0.0000 3.5162
Os Pb O
2 2 8
Direct
0.1080 0.8920 0.5000
0.8920 0.1080 0.0000
0.3887 0.6169 0.1553
0.6169 0.3887 0.6553
0.0409 0.9508 0.1013
0.1517 0.3808 0.3979
0.2288 0.7789 0.2447
0.3808 0.1517 0.8979
0.6157 0.8536 0.8669
0.7789 0.2288 0.7447
0.8536 0.6157 0.3669
0.9508 0.0409 0.6013
```

## Properties
mass density = 8.600 g/cm3
magnetization = 0.31 Bohr magnetons per cell

<b>
Compound: OsPbO4
Source: OQMD via LeMat-Bulk
Functional: PBE
Structure: optimized geometry

Geometry as POSCAR:
```
OsPbO4
1.0
3.5801 -3.6015 0.0000
3.5801 3.6015 0.0000
0.0000 0.0000 3.2944
Os Pb O
1 1 4
Direct
0.0000 0.0000 0.0000
0.5000 0.5000 0.5000
0.1665 0.1665 0.5000
0.2505 0.7495 0.0000
0.7495 0.2505 0.0000
0.8335 0.8335 0.5000
```

## Properties
mass density = 9.019 g/cm3
magnetization = 0.00 Bohr magnetons per cell

Least stable of them? <a>.

<a>
Compound: TaOsPb2O6
Source: OQMD via LeMat-Bulk
Functional: PBE
Structure: optimized geometry

Geometry as POSCAR:
```
TaOsPb2O6
1.0
-2.8334 2.8334 4.0254
2.8334 -2.8334 4.0254
2.8334 2.8334 -4.0254
Ta Os Pb O
1 1 2 6
Direct
0.0000 0.0000 0.0000
0.5000 0.5000 0.0000
0.2500 0.7500 0.5000
0.7500 0.2500 0.5000
0.2481 0.2481 0.0000
0.2485 0.2485 0.4970
0.2485 0.7515 0.0000
0.7515 0.2485 0.0000
0.7519 0.7519 0.0000
0.7515 0.7515 0.5030
```

## Properties
mass density = 11.324 g/cm3
magnetization = 1.00 Bohr magnetons per cell

<b>
Compound: TaOsPb2O6
Source: OQMD via LeMat-Bulk
Functional: PBE
Structure: optimized geometry

Geometry as POSCAR:
```
TaOsPb2O6
1.0
2.8631 1.6530 4.5432
-2.8631 1.6530 4.5432
0.0000 -3.3060 4.5432
Ta Os Pb O
1 1 2 6
Direct
0.0000 0.0000 0.0000
0.5000 0.5000 0.5000
0.2509 0.2509 0.2509
0.7491 0.7491 0.7491
0.2047 0.7569 0.2906
0.2431 0.7094 0.7953
0.2906 0.2047 0.7569
0.7094 0.7953 0.2431
0.7569 0.2906 0.2047
0.7953 0.2431 0.7094
```

## Properties
mass density = 11.347 g/cm3
magnetization = 1.00 Bohr magnetons per cell

Least stable of them? <a>.

<a>
Compound: ZnOsPb2O6
Source: OQMD via LeMat-Bulk
Functional: PBE
Structure: optimized geometry

Geometry as POSCAR:
```
ZnOsPb2O6
1.0
-2.7789 2.7789 4.0728
2.7789 -2.7789 4.0728
2.7789 2.7789 -4.0728
Zn Os Pb O
1 1 2 6
Direct
0.0000 0.0000 0.0000
0.5000 0.5000 0.0000
0.2500 0.7500 0.5000
0.7500 0.2500 0.5000
0.2052 0.6863 0.8915
0.2614 0.2614 0.0000
0.3137 0.2052 0.5189
0.6863 0.7948 0.4811
0.7386 0.7386 0.0000
0.7948 0.3137 0.1085
```

## Properties
mass density = 10.111 g/cm3
magnetization = 1.92 Bohr magnetons per cell

<b>
Compound: ZnOsPb2O6
Source: OQMD via LeMat-Bulk
Functional: PBE
Structure: optimized geometry

Geometry as POSCAR:
```
ZnOsPb2O6
1.0
0.0000 3.9796 3.9796
3.9796 0.0000 3.9796
3.9796 3.9796 0.0000
Zn Os Pb O
1 1 2 6
Direct
0.0000 0.0000 0.0000
0.5000 0.5000 0.5000
0.2500 0.2500 0.2500
0.7500 0.7500 0.7500
0.2588 0.2588 0.7412
0.2588 0.7412 0.2588
0.2588 0.7412 0.7412
0.7412 0.2588 0.2588
0.7412 0.2588 0.7412
0.7412 0.7412 0.2588
```

## Properties
mass density = 10.091 g/cm3
magnetization = 1.69 Bohr magnetons per cell

Least stable of them? <b>.

<a>
Compound: Pm2Os2O5
Source: OQMD via LeMat-Bulk
Functional: PBE
Structure: optimized geometry

Geometry as POSCAR:
```
Pm2Os2O5
1.0
3.5708 0.0000 0.0000
0.0000 3.5708 0.0000
0.0000 0.0000 9.6643
Pm Os O
2 2 5
Direct
0.0000 0.0000 0.2347
0.0000 0.0000 0.7653
0.5000 0.5000 0.0000
0.5000 0.5000 0.5000
0.0000 0.0000 0.0000
0.0000 0.5000 0.3806
0.0000 0.5000 0.6194
0.5000 0.0000 0.3806
0.5000 0.0000 0.6194
```

## Properties
mass density = 10.113 g/cm3
magnetization = 1.17 Bohr magnetons per cell

<b>
Compound: Pm2Os2O5
Source: OQMD via LeMat-Bulk
Functional: PBE
Structure: optimized geometry

Geometry as POSCAR:
```
Pm2Os2O5
1.0
3.9646 0.0000 0.0000
0.0000 3.9646 0.0000
0.0000 0.0000 7.0220
Pm Os O
2 2 5
Direct
0.0000 0.0000 0.0000
0.0000 0.0000 0.5000
0.5000 0.5000 0.1892
0.5000 0.5000 0.8108
0.0000 0.5000 0.2382
0.0000 0.5000 0.7618
0.5000 0.0000 0.2382
0.5000 0.0000 0.7618
0.5000 0.5000 0.5000
```

## Properties
mass density = 11.290 g/cm3
magnetization = 0.03 Bohr magnetons per cell

Least stable of them? <a>.

<a>
Compound: Rb2OsO4
Source: OQMD via LeMat-Bulk
Functional: PBE
Structure: optimized geometry

Geometry as POSCAR:
```
Rb2OsO4
1.0
6.4001 -3.0883 0.0000
6.4001 3.0883 0.0000
-3.4434 0.0000 6.9842
Rb Os O
4 2 8
Direct
0.0123 0.0123 0.2384
0.3438 0.3438 0.2501
0.6562 0.6562 0.7499
0.9877 0.9877 0.7616
0.3244 0.3244 0.7720
0.6756 0.6756 0.2280
0.1185 0.5967 0.9226
0.1676 0.1676 0.6254
0.4033 0.8815 0.0774
0.4111 0.4111 0.6412
0.5889 0.5889 0.3588
0.5967 0.1185 0.9226
0.8324 0.8324 0.3746
0.8815 0.4033 0.0774
```

## Properties
mass density = 5.114 g/cm3
magnetization = 4.00 Bohr magnetons per cell

<b>
Compound: Rb2OsO4
Source: OQMD via LeMat-Bulk
Functional: PBE
Structure: optimized geometry

Geometry as POSCAR:
```
Rb2OsO4
1.0
0.0000 5.1283 5.1283
5.1283 0.0000 5.1283
5.1283 5.1283 0.0000
Rb Os O
4 2 8
Direct
0.0000 0.0000 0.0000
0.0000 0.0000 0.5000
0.0000 0.5000 0.0000
0.5000 0.0000 0.0000
0.3750 0.3750 0.3750
0.6250 0.6250 0.6250
0.2729 0.2729 0.2729
0.2729 0.2729 0.6814
0.2729 0.6814 0.2729
0.3186 0.7271 0.7271
0.6814 0.2729 0.2729
0.7271 0.3186 0.7271
0.7271 0.7271 0.3186
0.7271 0.7271 0.7271
```

## Properties
mass density = 5.235 g/cm3
magnetization = 4.00 Bohr magnetons per cell

Least stable of them? <b>.